(1)
The following is a GGA-PBE calculation of a relaxed MnAlCr crystal, from Alexandria via LeMat-Bulk.

Output
E_form: -0.67 eV per formula unit
volume: 36.1 Å³/cell
offset from the most stable computed form: 0.00 kJ/mol of atoms

Cell: 4.842 4.842 4.842 Å, 145.58 145.58 49.48°
Fractional coordinates of all 3 atoms:
Al 0.002 0.002 0.000
Cr 0.318 0.318 0.000
Mn 0.679 0.679 0.000

***

(2)
The following is a GGA-PBE calculation of a relaxed MnAlCr2 crystal, from Alexandria via LeMat-Bulk.

Output
E_form: 0.40 eV per formula unit
volume: 49.3 Å³/cell

Cell: 4.707 4.707 2.498 Å, 90.00 90.00 117.06°
Fractional coordinates of all 4 atoms:
Al 0.000 0.500 0.500
Cr 0.000 0.000 0.000
Cr 0.500 0.500 0.000
Mn 0.500 0.000 0.500

***

(3)
The following is a GGA-PBE calculation of a relaxed Mn2AlCr6 crystal, from Alexandria via LeMat-Bulk.

Output
E_form: 3.48 eV per formula unit
volume: 112.7 Å³/cell

Cell: 5.135 5.089 5.009 Å, 120.53 88.82 90.00°
Fractional coordinates of all 9 atoms:
Cr 0.500 0.214 0.000
Cr 0.242 0.070 0.551
Cr 0.758 0.519 0.449
Cr 0.500 0.786 0.000
Cr 0.758 0.930 0.449
Cr 0.242 0.481 0.551
Al 0.000 0.000 0.000
Mn 0.835 0.427 0.853
Mn 0.165 0.573 0.147

***

(4)
The following is a GGA-PBE calculation of a relaxed MnAlCr2 crystal, from Alexandria via LeMat-Bulk.

Output
E_form: -0.31 eV per formula unit
volume: 49.7 Å³/cell

Cell: 3.004 4.038 4.095 Å, 90.00 90.00 90.00°
Fractional coordinates of all 4 atoms:
Cr 0.000 0.000 0.000
Cr 0.500 0.500 0.000
Mn 0.500 0.000 0.500
Al 0.000 0.500 0.500

***

(5)
The following is a GGA-PBE calculation of a relaxed MnAlCr2 crystal, from Alexandria via LeMat-Bulk.

Output
E_form: 1.94 eV per formula unit
volume: 107.1 Å³/cell

Cell: 6.589 6.589 5.272 Å, 51.32 51.32 90.00°
Fractional coordinates of all 8 atoms:
Al 0.500 0.500 0.000
Al 0.250 0.750 0.500
Mn 0.000 0.000 0.000
Mn 0.750 0.250 0.500
Cr 0.072 0.625 0.250
Cr 0.678 0.125 0.250
Cr 0.375 0.322 0.750
Cr 0.875 0.928 0.750

***

(6)
The following is a GGA-PBE calculation of a relaxed MnAlCr crystal, from Alexandria via LeMat-Bulk.

Output
E_form: -0.39 eV per formula unit
volume: 36.7 Å³/cell
offset from the most stable computed form: 8.97 kJ/mol of atoms

Cell: 4.045 4.045 2.590 Å, 90.00 90.00 120.00°
Fractional coordinates of all 3 atoms:
Cr 0.667 0.333 0.392
Al 0.000 0.000 0.990
Mn 0.333 0.667 0.618

***

What is the E_form in the sixth record?
-0.39 eV per formula unit

***

Please write out number 6 again, unchanged.
The following is a GGA-PBE calculation of a relaxed MnAlCr crystal, from Alexandria via LeMat-Bulk.

Output
E_form: -0.39 eV per formula unit
volume: 36.7 Å³/cell
offset from the most stable computed form: 8.97 kJ/mol of atoms

Cell: 4.045 4.045 2.590 Å, 90.00 90.00 120.00°
Fractional coordinates of all 3 atoms:
Cr 0.667 0.333 0.392
Al 0.000 0.000 0.990
Mn 0.333 0.667 0.618

***

The lowest E_form belongs to which entry?
number 1

***

What is the formula in the third record?
Mn2AlCr6